Here is a relaxed CaNdHfFeO6 crystal from Alexandria via LeMat-Bulk. Energies are from PBE+U.

```
CaNdHfFeO6
1.0
0.0000 3.9350 3.9350
3.9350 0.0000 3.9350
3.9350 3.9350 0.0000
Ca Nd Hf Fe O
1 1 1 1 6
Cartesian
0.0000 0.0000 0.0000
3.9350 3.9350 3.9350
1.9675 1.9675 1.9675
5.9024 5.9024 5.9024
5.9024 5.9024 3.9969
5.9024 3.9969 5.9024
7.8079 5.9024 5.9024
3.9969 5.9024 5.9024
5.9024 7.8079 5.9024
5.9024 5.9024 7.8079
```

Output
The value obtained for the total DFT energy (no corrections) is -7.7365 eV per atom. The symmetry is No. 216. The value obtained for the total moment is 1.00 μB per cell.